[1]
# Si2PIr

A relaxed Si2PIr crystal (PBE, Alexandria via LeMat-Bulk).

Cell lengths 5.4996, 5.4996, 6.3248 Å; angles 64.23, 64.23, 90.00 degrees
Atoms (fractional coordinates):
1 P 0.5000 0.5000 0.0000
2 P 0.2500 0.7500 0.5000
3 Si 0.3750 0.3759 0.7500
4 Si 0.8750 0.8741 0.7500
5 Si 0.6241 0.1250 0.2500
6 Si 0.1259 0.6250 0.2500
7 Ir 0.7500 0.2500 0.5000
8 Ir 0.0000 0.0000 0.0000

Values from the calculation:
**Symmetry**: I-42d
**Energy above the most stable polymorph in this dataset**: 106.1 meV/atom
**E**: -6.431 eV/atom
**Mass density**: 6.15 g/cm³



[2]
# Hg6TeAuCl2

A relaxed Hg6TeAuCl2 crystal (PBE, Alexandria via LeMat-Bulk).

Cell lengths 7.3581, 7.8469, 11.0182 Å; angles 90.00, 87.78, 90.00 degrees
Atoms (fractional coordinates):
1 Cl 0.9716 0.0023 0.7586
2 Cl 0.4716 0.4977 0.2586
3 Cl 0.5284 0.5023 0.7414
4 Cl 0.0284 0.9977 0.2414
5 Hg 0.5968 0.0237 0.2581
6 Hg 0.0968 0.4763 0.7581
7 Hg 0.7977 0.8156 0.5530
8 Hg 0.9032 0.5237 0.2419
9 Hg 0.2977 0.6844 0.0530
10 Hg 0.7023 0.3156 0.9470
11 Hg 0.6669 0.2912 0.5596
12 Hg 0.2023 0.1844 0.4470
13 Hg 0.8331 0.7912 0.9404
14 Hg 0.1669 0.2088 0.0596
15 Hg 0.4032 0.9763 0.7419
16 Hg 0.3331 0.7088 0.4404
17 Au 0.0000 0.5000 0.0000
18 Au 0.5000 0.0000 0.5000
19 Te 0.5000 0.0000 0.0000
20 Te 0.0000 0.5000 0.5000

Values from the calculation:
**Symmetry**: P2_1/c
**E**: -1.371 eV/atom
**Mass density**: 8.35 g/cm³



[3]
# Ho5TmMg4

A relaxed Ho5TmMg4 crystal (PBE, Alexandria via LeMat-Bulk).

Cell lengths 3.7046, 3.7046, 20.1970 Å; angles 90.00, 90.00, 90.00 degrees
Atoms (fractional coordinates):
1 Ho 0.5000 0.5000 0.6907
2 Ho 0.5000 0.5000 0.1154
3 Ho 0.5000 0.5000 0.8846
4 Ho 0.5000 0.5000 0.3093
5 Ho 0.5000 0.5000 0.5000
6 Mg 0.0000 0.0000 0.4042
7 Mg 0.0000 0.0000 0.5958
8 Mg 0.0000 0.0000 0.7870
9 Mg 0.0000 0.0000 0.2130
10 Tm 0.0000 0.0000 0.0000

Values from the calculation:
**Symmetry**: P4/mmm
**E**: -3.416 eV/atom
**Mass density**: 6.53 g/cm³



[4]
# Ag3WSe

A relaxed Ag3WSe crystal (PBE, Alexandria via LeMat-Bulk).

Cell lengths 5.0979, 5.0979, 5.0979 Å; angles 90.00, 90.00, 90.00 degrees
Atoms (fractional coordinates):
1 Ag 0.0000 0.0000 0.5000
2 Ag 0.5000 0.0000 0.0000
3 Ag 0.0000 0.5000 0.0000
4 Se 0.5000 0.5000 0.5000
5 W 0.0000 0.0000 0.0000

Values from the calculation:
**Symmetry**: Pm-3m
**Energy above the most stable polymorph in this dataset**: 319.9 meV/atom
**E**: -3.233 eV/atom
**Mass density**: 7.35 g/cm³



[5]
# Na4Sm3BiS8

A relaxed Na4Sm3BiS8 crystal (PBE, Alexandria via LeMat-Bulk).

Cell lengths 8.1587, 8.2025, 8.1580 Å; angles 119.85, 120.00, 90.00 degrees
Atoms (fractional coordinates):
1 S 0.2452 0.7328 0.4905
2 S 0.7548 0.2672 0.5095
3 S 0.2575 0.2672 0.0122
4 S 0.7548 0.2672 0.0122
5 S 0.7433 0.7298 0.4866
6 S 0.2452 0.7328 0.9878
7 S 0.7425 0.7328 0.9878
8 S 0.2567 0.2702 0.5134
9 Na 0.5000 0.0000 0.0000
10 Na 0.5000 0.0000 0.5000
11 Na 0.0000 0.0000 0.5000
12 Na 0.0000 0.0000 0.0000
13 Sm 0.5000 0.5000 0.5000
14 Sm 0.5000 0.5000 0.0000
15 Sm 0.0000 0.5000 0.5000
16 Bi 0.0000 0.5000 0.0000

Values from the calculation:
**Symmetry**: R-3m
**E**: -5.071 eV/atom
**Mass density**: 4.33 g/cm³



[6]
# SrLi2TmTl4

A relaxed SrLi2TmTl4 crystal (PBE, Alexandria via LeMat-Bulk).

Cell lengths 5.2631, 5.2631, 9.2221 Å; angles 73.42, 73.42, 60.00 degrees
Atoms (fractional coordinates):
1 Li 0.7525 0.7525 0.7425
2 Li 0.2475 0.2475 0.2575
3 Tm 0.5000 0.5000 0.5000
4 Tl 0.6198 0.6198 0.1406
5 Tl 0.8715 0.8715 0.3855
6 Tl 0.3802 0.3802 0.8594
7 Tl 0.1285 0.1285 0.6145
8 Sr 0.0000 0.0000 0.0000

Values from the calculation:
**Symmetry**: R-3m
**E**: -2.719 eV/atom
**Mass density**: 8.65 g/cm³



[7]
# Na2LiLaCu

A relaxed Na2LiLaCu crystal (PBE, Alexandria via LeMat-Bulk).

Cell lengths 5.5481, 5.4404, 5.5481 Å; angles 90.00, 90.00, 90.00 degrees
Atoms (fractional coordinates):
1 La 0.0000 0.5000 0.0000
2 Na 0.0000 0.0000 0.5000
3 Na 0.5000 0.0000 0.0000
4 Cu 0.0000 0.0000 0.0000
5 Li 0.5000 0.5000 0.5000

Values from the calculation:
**Symmetry**: P4/mmm
**Energy above the most stable polymorph in this dataset**: 0.0 meV/atom
**E**: -2.412 eV/atom
**Mass density**: 2.53 g/cm³



[8]
# Ba3In8Au3

A relaxed Ba3In8Au3 crystal (PBE, Alexandria via LeMat-Bulk).

Cell lengths 5.0840, 9.3737, 9.4510 Å; angles 66.94, 74.40, 74.27 degrees
Atoms (fractional coordinates):
1 Ba 0.0000 0.0000 0.0000
2 Ba 0.2900 0.7084 0.7116
3 Ba 0.7100 0.2916 0.2884
4 Au 0.6522 0.7026 0.9931
5 Au 0.3478 0.2974 0.0069
6 Au 0.0000 0.5000 0.5000
7 In 0.8516 0.4299 0.8669
8 In 0.8614 0.8469 0.4304
9 In 0.3436 0.0268 0.2861
10 In 0.5045 0.6693 0.3218
11 In 0.1484 0.5701 0.1331
12 In 0.1386 0.1531 0.5696
13 In 0.4955 0.3307 0.6782
14 In 0.6564 0.9732 0.7139

Values from the calculation:
**Symmetry**: C2/m
**Energy above the most stable polymorph in this dataset**: 0.0 meV/atom
**E**: -3.113 eV/atom
**Mass density**: 8.14 g/cm³



[9]
# Pm2EuH

A relaxed Pm2EuH crystal (PBE, Alexandria via LeMat-Bulk).

Cell lengths 3.7531, 3.7531, 9.2715 Å; angles 78.32, 78.32, 60.00 degrees
Last column: magnetic moment on the atom in μB.
Atoms (fractional coordinates):
1 Pm 0.2823 0.2823 0.1530  0.02
2 Pm 0.7177 0.7177 0.8470  0.02
3 Eu 0.5000 0.5000 0.5000  6.99
4 H 0.0000 0.0000 0.0000  0.00

Values from the calculation:
**Symmetry**: R-3m
**E**: -5.929 eV/atom
**Mass density**: 6.69 g/cm³



[10]
# SmMg2Cu

A relaxed SmMg2Cu crystal (PBE, Alexandria via LeMat-Bulk).

Cell lengths 5.0114, 4.2670, 4.2670 Å; angles 90.00, 90.00, 90.00 degrees
Atoms (fractional coordinates):
1 Mg 0.0000 0.0000 0.5000
2 Mg 0.0000 0.5000 0.0000
3 Cu 0.5000 0.5000 0.5000
4 Sm 0.5000 0.0000 0.0000

Values from the calculation:
**Symmetry**: P4/mmm
**E**: -3.006 eV/atom
**Mass density**: 4.78 g/cm³



[11]
# SrNi2P

A relaxed SrNi2P crystal (PBE, Alexandria via LeMat-Bulk).

Cell lengths 5.1386, 5.1386, 5.1386 Å; angles 139.93, 115.82, 78.42 degrees
Atoms (fractional coordinates):
1 P 0.0000 0.5000 0.5000
2 Ni 0.8377 0.8377 0.0000
3 Ni 0.1623 0.1623 0.0000
4 Sr 0.5000 0.0000 0.5000

Values from the calculation:
**Symmetry**: Immm
**E**: -4.801 eV/atom
**Mass density**: 5.12 g/cm³



[12]
# NdSm2Y

A relaxed NdSm2Y crystal (PBE, Alexandria via LeMat-Bulk).

Cell lengths 5.7776, 5.7776, 5.7776 Å; angles 60.00, 60.00, 60.00 degrees
Atoms (fractional coordinates):
1 Y 0.5000 0.5000 0.5000
2 Sm 0.7500 0.7500 0.7500
3 Sm 0.2500 0.2500 0.2500
4 Nd 0.0000 0.0000 0.0000

Values from the calculation:
**Symmetry**: Fm-3m
**Energy above the most stable polymorph in this dataset**: 130.2 meV/atom
**E**: -5.028 eV/atom
**Mass density**: 6.50 g/cm³



Number 1: DOS(E_F) 2.224 states/eV/cell. Number 2: DOS(E_F) 4.583 states/eV/cell. Number 3: DOS(E_F) 15.811 states/eV/cell. Number 4: DOS(E_F) 5.842 states/eV/cell. Number 5: DOS(E_F) 0.000 states/eV/cell. Number 6: DOS(E_F) 3.018 states/eV/cell. Number 7: DOS(E_F) 4.314 states/eV/cell. Number 8: DOS(E_F) 6.637 states/eV/cell. Number 9: DOS(E_F) 3.116 states/eV/cell. Number 10: DOS(E_F) 3.554 states/eV/cell. Number 11: DOS(E_F) 3.210 states/eV/cell. Number 12: DOS(E_F) 10.861 states/eV/cell.